Entry 1:
This record from the Alexandria database describes crystalline TbVW at its relaxed geometry. The functional is PBE.

```
TbVW
1.0
-2.4235 -0.8895 2.5656
2.8206 -3.4112 1.4817
4.2683 4.8967 3.1481
V Tb W
2 2 2
Cartesian
2.2327 1.3721 2.5848 V
2.4327 -0.7761 4.6105 V
2.6122 -1.8348 1.8315 Tb
2.0531 2.4308 5.3639 Tb
0.2911 -0.1357 2.8095 W
4.3743 0.7317 4.3858 W
```

## Properties
**D(E_F)**: 2.533 states/eV/f.u.
**Electronic total energy**: -8.53 eV/atom
**Symmetry**: Cmcm, No. 63
**E_form**: 375 meV/atom


Entry 2:
This record from the Alexandria database describes crystalline HoTl2Pd8 at its relaxed geometry. The functional is PBE.

```
HoTl2Pd8
1.0
-3.0183 2.8858 -0.1111
-0.2663 -0.5294 -6.5162
-3.2721 -6.3343 2.8975
Pd Tl Ho
8 2 1
Cartesian
-3.4551 -0.7826 -4.9980 Pd
-0.5660 -0.7649 -4.4916 Pd
-1.3694 -1.4498 -0.4560 Pd
-5.9908 -3.2130 0.7618 Pd
-2.4876 0.3237 -2.5445 Pd
-5.1874 -2.5281 -3.2738 Pd
-3.1017 -3.1953 1.2682 Pd
-4.0691 -4.3016 -1.1852 Pd
-2.2726 -2.4940 -3.0412 Tl
-4.2841 -1.4838 -0.6886 Tl
-1.5092 1.4429 -0.0555 Ho
```

## Properties
**D(E_F)**: 5.168 states/eV/f.u.
**Electronic total energy**: -5.02 eV/atom
**Symmetry**: C2/m, No. 12
**E_form**: -395 meV/atom


Entry 3:
This record from the Alexandria database describes crystalline PrScCoAg at its relaxed geometry. The functional is PBE.

```
PrScCoAg
1.0
4.9278 0.0000 0.0000
2.4639 4.2676 0.0000
2.4639 1.4225 4.0235
Pr Sc Co Ag
1 1 1 1
Cartesian
0.0000 0.0000 0.0000 Pr
4.9278 2.8451 2.0118 Sc
7.3917 4.2676 3.0176 Co
2.4639 1.4225 1.0059 Ag
```

## Properties
**D(E_F)**: 3.366 states/eV/f.u.
**Electronic total energy**: -5.33 eV/atom
**Symmetry**: F-43m, No. 216
**E_form**: -67 meV/atom


Entry 4:
This record from the Alexandria database describes crystalline CuBAs2Br at its relaxed geometry. The functional is PBE.

```
CuBAs2Br
1.0
-4.2584 2.8905 0.8869
-2.8654 -3.3692 -2.7773
-0.8290 -2.3637 3.7228
B Cu As Br
1 1 2 1
Cartesian
-3.9764 -1.4212 0.9162 B
-0.4145 -1.1818 1.8614 Cu
-1.4327 -1.6846 -1.3887 As
-2.1292 1.4453 0.4435 As
0.0000 0.0000 0.0000 Br
```

## Properties
**Formation energy (no corrections)**: 184.25 kJ/mol of atoms
**D(E_F)**: 3.601 states/eV/f.u.
**Polymorph energy (0 for the lowest one)**: 1018.0 meV per atom
**Electronic total energy**: -2.44 eV/atom
**Symmetry**: P4/mmm, No. 123


Entry 5:
This record from the Alexandria database describes crystalline PaTaRuO6 at its relaxed geometry. The functional is PBE.

```
PaTaRuO6
1.0
-2.4692 -2.2164 -4.4410
1.1029 -3.1562 4.4220
-7.6008 1.9214 3.2671
Ta Pa O Ru
2 2 12 2
Cartesian
-3.1787 -2.0493 -0.6699 Ta
-5.7884 -1.4019 3.9180 Ta
-6.9791 -1.0886 0.9637 Pa
-1.9880 -2.3626 2.2844 Pa
-5.6214 -2.3630 2.1576 O
-1.9189 -3.2979 0.2812 O
-1.8049 -0.6225 -1.0270 O
-4.5213 -3.4843 -0.2356 O
-5.9576 -0.5152 5.7168 O
-4.4457 0.0331 3.4837 O
-7.0482 -0.1533 2.9670 O
-4.4952 -2.5843 4.9079 O
-3.0094 -2.9360 -2.4686 O
-4.4719 -0.8669 -1.6598 O
-3.3457 -1.0883 1.0905 O
-7.1622 -2.8287 4.2751 O
-3.8004 0.9607 1.6336 Ru
0.0000 0.0000 0.0000 Ru
```

## Properties
**Formation energy (no corrections)**: -226.78 kJ/mol of atoms
**Electronic total energy**: -9.06 eV/atom
**Symmetry**: P-31c, No. 163


Entry 6:
This record from the Alexandria database describes crystalline RbLiHgI2 at its relaxed geometry. The functional is PBE.

```
RbLiHgI2
1.0
-4.8912 3.2444 -0.4416
-3.1208 -4.3790 2.3939
0.9162 2.0556 4.9544
Rb Hg I Li
1 1 2 1
Cartesian
-3.5479 0.4605 3.4533 Rb
0.4581 1.0278 2.4772 Hg
-2.4456 1.6222 -0.2208 I
-1.5604 -2.1895 1.1969 I
0.0000 0.0000 0.0000 Li
```

## Properties
**Formation energy (no corrections)**: -94.41 kJ/mol of atoms
**D(E_F)**: 0.000 states/eV/f.u.
**Electronic total energy**: -2.24 eV/atom
**Symmetry**: P4/mmm, No. 123


no.,volume (A^3/atom),magnetization (μB/cell)
1,19.8,0.00
2,17.5,0.00
3,21.2,0.52
4,24.5,0.00
5,12.6,0.11
6,37.7,0.00